Record 1
The following is a DFT calculation (PBE-GGA) of an optimized crystal structure of NaLi6Sn2.

Calculated values
N(E_F): 3.76 states/eV per cell
Formation energy from the elements: -0.338 eV/atom
Total magnetic moment: 0.00 μB/cell

Lattice parameters (Å, degrees): 4.755 8.306 8.566 90.00 90.01 90.00
Fractional positions:
1 Li 0.000 0.678 0.898
2 Li 0.000 0.342 0.416
3 Li 0.000 0.996 0.170
4 Li 0.000 0.322 0.102
5 Li 0.000 0.004 0.830
6 Li 0.500 0.842 0.084
7 Li 0.500 0.496 0.330
8 Li 0.500 0.822 0.398
9 Li 0.500 0.178 0.602
10 Li 0.500 0.504 0.670
11 Li 0.500 0.158 0.916
12 Li 0.000 0.658 0.584
13 Sn 0.000 0.337 0.757
14 Sn 0.500 0.163 0.257
15 Sn 0.000 0.663 0.243
16 Sn 0.500 0.837 0.743
17 Na 0.500 0.500 0.000
18 Na 0.000 0.000 0.500

=====

Record 2
The following is a DFT calculation (PBE-GGA) of an optimized crystal structure of Na2MnPt2.

Calculated values
N(E_F): 4.88 states/eV per cell
Formation energy from the elements: -0.089 eV/atom
Polymorph energy (0 for the lowest one): 0 kJ/mol of formula units
Total magnetic moment: 8.61 μB/cell

Lattice parameters (Å, degrees): 6.500 6.500 4.765 90.00 90.00 90.00
Each line ends with the local moment (μB).
Fractional positions:
1 Pt 0.140 0.360 0.000  0.15
2 Pt 0.360 0.860 0.000  0.13
3 Pt 0.860 0.640 0.000  0.15
4 Pt 0.640 0.140 0.000  0.13
5 Mn 0.500 0.500 0.000  3.75
6 Mn 0.000 0.000 0.000  3.75
7 Na 0.668 0.832 0.500  -0.01
8 Na 0.168 0.668 0.500  -0.01
9 Na 0.832 0.332 0.500  -0.01
10 Na 0.332 0.168 0.500  -0.01